First-principles (PBE with a Hubbard U) data for crystalline Ba3CoIr2O9 at its relaxed geometry, as listed in OQMD.

Output
- Raw total energy: -195.62 eV per cell
- Symmetry: P6_3/mmc, No. 194
- Total moment: 7.01 μB/f.u.

Unit cell a=5.7525 b=5.7525 c=14.3039 alpha=90.00 beta=90.00 gamma=120.00
Closest atoms and distances in Å follow each position.
Fractional coordinates of all 30 atoms:
O 0.4889 0.9778 0.2500  2 Ir 2.04
O 0.8308 0.6616 0.5820  1 Ir 1.96, 1 Co 2.05
O 0.3384 0.1692 0.5820  1 Ir 1.96, 1 Co 2.05
Ba 0.3333 0.6667 0.5852  12 O 2.88-2.95
O 0.6616 0.8308 0.4180  1 Ir 1.96, 1 Co 2.05
Co 0.0000 0.0000 0.5000  6 O 2.05
O 0.1692 0.3384 0.0820  1 Ir 1.96, 1 Co 2.05
O 0.4889 0.5111 0.2500  2 Ir 2.04
O 0.1692 0.8308 0.0820  1 Ir 1.96, 1 Co 2.05
Ba 0.0000 0.0000 0.7500  12 O 2.88-2.94
O 0.8308 0.1692 0.5820  1 Ir 1.96, 1 Co 2.05
Ba 0.6667 0.3333 0.0852  12 O 2.88-2.95
O 0.1692 0.3384 0.4180  1 Ir 1.96, 1 Co 2.05
O 0.0222 0.5111 0.2500  2 Ir 2.04
O 0.8308 0.1692 0.9180  1 Ir 1.96, 1 Co 2.05
Ba 0.6667 0.3333 0.4148  12 O 2.88-2.95
Ir 0.6667 0.3333 0.8430  6 O 1.96-2.04
Ba 0.0000 0.0000 0.2500  12 O 2.88-2.94
Ir 0.3333 0.6667 0.1570  6 O 1.96-2.04
Ba 0.3333 0.6667 0.9148  12 O 2.88-2.95
Ir 0.6667 0.3333 0.6570  6 O 1.96-2.04
Ir 0.3333 0.6667 0.3430  6 O 1.96-2.04
O 0.3384 0.1692 0.9180  1 Ir 1.96, 1 Co 2.05
O 0.9778 0.4889 0.7500  2 Ir 2.04
O 0.6616 0.8308 0.0820  1 Ir 1.96, 1 Co 2.05
O 0.5111 0.4889 0.7500  2 Ir 2.04
O 0.5111 0.0222 0.7500  2 Ir 2.04
Co 0.0000 0.0000 0.0000  6 O 2.05
O 0.1692 0.8308 0.4180  1 Ir 1.96, 1 Co 2.05
O 0.8308 0.6616 0.9180  1 Ir 1.96, 1 Co 2.05